1.
# NdCuAsP (PBE-GGA, relaxed)
data_NdCuAsP
_symmetry_space_group_name_H-M 'C 1 m 1'
_symmetry_Int_Tables_number 8
_cell_length_a 10.541
_cell_length_b 3.984
_cell_length_c 4.140
_cell_angle_alpha 90.00
_cell_angle_beta 113.10
_cell_angle_gamma 90.00
loop_
_symmetry_equiv_pos_as_xyz
'x,y,z'
'x,-y,z'
'x+1/2,y+1/2,z'
'x+1/2,-y+1/2,z'
loop_
_atom_site_label
_atom_site_type_symbol
_atom_site_fract_x
_atom_site_fract_y
_atom_site_fract_z
_atom_site_occupancy
Nd1 Nd 0.000 0.000 0.000 1
Cu1 Cu 0.261 0.500 0.261 1
As1 As 0.131 0.500 0.632 1
P1 P 0.384 0.000 0.383 1
# formation energy from the elements = -0.749 eV per atom
# spin magnetization = 0.000 μB per formula unit

2.
# RbPaRuN3 (PBE-GGA, relaxed)
data_RbPaRuN3
_symmetry_space_group_name_H-M 'P 1 21/m 1'
_symmetry_Int_Tables_number 11
_cell_length_a 8.061
_cell_length_b 3.561
_cell_length_c 9.256
_cell_angle_alpha 90.00
_cell_angle_beta 109.57
_cell_angle_gamma 90.00
loop_
_symmetry_equiv_pos_as_xyz
'x,y,z'
'-x,-y,-z'
'-x,y+1/2,-z'
'x,-y+1/2,z'
loop_
_atom_site_label
_atom_site_type_symbol
_atom_site_fract_x
_atom_site_fract_y
_atom_site_fract_z
_atom_site_occupancy
Rb1 Rb 0.200 0.250 0.194 1
Pa1 Pa 0.336 0.750 0.853 1
Ru1 Ru 0.040 0.250 0.609 1
N1 N 0.149 0.250 0.837 1
N2 N 0.158 0.750 0.590 1
N3 N 0.478 0.750 0.111 1
# formation energy from raw total energies = -635 meV/atom
# spin magnetization = 0.000 μB per formula unit

3.
# AsRhF2 (PBE-GGA, relaxed)
data_AsRhF2
_symmetry_space_group_name_H-M 'I -4 2 d'
_symmetry_Int_Tables_number 122
_symmetry_space_group_name_Hall 'I -4 2bw'
_cell_length_a 3.625
_cell_length_b 3.625
_cell_length_c 15.787
_cell_angle_alpha 90.00
_cell_angle_beta 90.00
_cell_angle_gamma 90.00
loop_
_atom_site_label
_atom_site_type_symbol
_atom_site_fract_x
_atom_site_fract_y
_atom_site_fract_z
_atom_site_occupancy
As1 As 0.000 0.000 0.000 1
Rh1 Rh 0.000 0.000 0.500 1
F1 F 0.247 0.250 0.125 1
# distance to the lowest polymorph of the same formula = 0.0000 eV/atom
# formation energy from raw total energies = -785 meV/atom
# spin magnetization = 0.000 μB per formula unit

4.
# NdSmTcAg (PBE-GGA, relaxed)
data_NdSmTcAg
_symmetry_space_group_name_H-M 'F -4 3 m'
_symmetry_Int_Tables_number 216
_symmetry_space_group_name_Hall 'F -4 2 3'
_cell_length_a 7.216
_cell_length_b 7.216
_cell_length_c 7.216
_cell_angle_alpha 90.00
_cell_angle_beta 90.00
_cell_angle_gamma 90.00
loop_
_atom_site_label
_atom_site_type_symbol
_atom_site_fract_x
_atom_site_fract_y
_atom_site_fract_z
_atom_site_occupancy
Nd1 Nd 0.000 0.000 0.000 1
Sm1 Sm 0.000 0.000 0.500 1
Tc1 Tc 0.250 0.250 0.250 1
Ag1 Ag 0.250 0.250 0.750 1
# formation energy from the elements = 0.001 eV per atom
# spin magnetization = 0.000 μB per formula unit